VASP calculation (GGA-PBE) on a relaxed AlTl2Cd crystal.

Structure (POSCAR):
```
AlTl2Cd
1.0
-1.929 5.251 9.488
-5.006 4.230 8.852
-2.885 2.221 10.395
Tl Al Cd
2 1 1
direct
0.994 0.994 0.994
0.506 0.506 0.506
0.250 0.250 0.250
0.750 0.750 0.750
```

VASP energy	-2.17	eV per atom
DFT formation energy	175	meV/atom
volume	102.6	Å³/cell
SG	R-3m, No. 166
crystal system	trigonal